[1]
TaSiIN2 | GGA-PBEsol | optimized geometry

Structure (POSCAR):
```
TaSiIN2
1.0
3.763 0.000 0.000
0.000 3.763 0.000
0.000 0.000 5.126
Ta Si I N
1 1 1 2
direct
0.000 0.000 0.000
0.500 0.500 0.500
0.500 0.500 0.000
0.000 0.500 0.500
0.500 0.000 0.500
```

Computed properties:
Space group: P4/mmm, No. 123

[2]
TcSnIN2 | GGA-PBEsol | optimized geometry

Structure (POSCAR):
```
TcSnIN2
1.0
4.032 0.000 0.000
0.000 4.032 0.000
0.000 0.000 5.401
Tc Sn I N
1 1 1 2
direct
0.000 0.000 0.000
0.500 0.500 0.500
0.000 0.000 0.500
0.000 0.500 0.000
0.500 0.000 0.000
```

Computed properties:
Space group: P4/mmm, No. 123

[3]
SnTe2IN | GGA-PBEsol | optimized geometry

Structure (POSCAR):
```
SnTe2IN
1.0
5.901 0.000 0.000
0.000 5.901 0.000
0.000 0.000 3.957
Sn Te I N
1 2 1 1
direct
0.000 0.000 0.000
0.000 0.500 0.500
0.500 0.000 0.500
0.500 0.500 0.500
0.500 0.500 0.000
```

Computed properties:
Space group: P4/mmm, No. 123

[4]
SnTeI2N | GGA-PBEsol | optimized geometry

Structure (POSCAR):
```
SnTeI2N
1.0
6.042 0.000 0.000
0.000 6.042 0.000
0.000 0.000 3.814
Sn Te I N
1 1 2 1
direct
0.000 0.000 0.000
0.500 0.500 0.500
0.000 0.500 0.000
0.500 0.000 0.000
0.000 0.000 0.500
```

Computed properties:
Space group: P4/mmm, No. 123

[5]
TlSnIN2 | GGA-PBEsol | optimized geometry

Structure (POSCAR):
```
TlSnIN2
1.0
4.355 0.000 0.000
0.000 4.355 0.000
0.000 0.000 6.026
Tl Sn I N
1 1 1 2
direct
0.000 0.000 0.000
0.500 0.500 0.500
0.500 0.500 0.000
0.000 0.500 0.500
0.500 0.000 0.500
```

Computed properties:
Space group: P4/mmm, No. 123

[6]
SnWIN2 | GGA-PBEsol | optimized geometry

Structure (POSCAR):
```
SnWIN2
1.0
4.080 0.000 0.000
0.000 4.080 0.000
0.000 0.000 5.485
Sn W I N
1 1 1 2
direct
0.000 0.000 0.000
0.500 0.500 0.500
0.500 0.500 0.000
0.000 0.500 0.500
0.500 0.000 0.500
```

Computed properties:
Space group: P4/mmm, No. 123

[7]
Sr2IN | GGA-PBEsol | optimized geometry

Structure (POSCAR):
```
Sr2IN
1.0
1.983 1.145 7.682
-1.983 1.145 7.682
0.000 -2.290 7.682
Sr I N
2 1 1
direct
0.223 0.223 0.223
0.777 0.777 0.777
0.000 0.000 0.000
0.500 0.500 0.500
```

Computed properties:
Space group: R-3m, No. 166

[8]
SrTe2IN | GGA-PBEsol | optimized geometry

Structure (POSCAR):
```
SrTe2IN
1.0
6.183 0.000 0.000
0.000 6.183 0.000
0.000 0.000 4.692
Sr Te I N
1 2 1 1
direct
0.000 0.000 0.000
0.000 0.500 0.000
0.500 0.000 0.000
0.500 0.500 0.500
0.000 0.000 0.500
```

Computed properties:
Space group: P4/mmm, No. 123

| no. | total moment (μB per atom) | raw formation energy (eV per atom) |
| --- | --- | --- |
| 1 | 0.004 | 1.320 |
| 2 | 0.000 | 0.796 |
| 3 | 0.000 | 0.963 |
| 4 | 0.000 | 0.640 |
| 5 | 0.412 | 1.076 |
| 6 | 0.000 | 0.666 |
| 7 | 0.009 | -1.175 |
| 8 | 0.419 | 0.823 |